# 1
YMg3Cd: relaxed, PBE.

Cell lengths 5.168, 5.168, 5.168 Å; angles 90.00, 90.00, 90.00 degrees
Atoms (fractional coordinates):
Y 0.500 0.500 0.500
Mg 0.000 0.500 0.000
Mg 0.000 0.000 0.500
Mg 0.500 0.000 0.000
Cd 0.000 0.000 0.000

## Properties
**Formation enthalpy at 0 K**: 241 meV per atom
**Magnetic moment**: 0.00 μB per cell
**SG**: Pm-3m, No. 221



# 2
YMg4Cd15: relaxed, PBE.

Cell lengths 4.584, 4.584, 21.343 Å; angles 90.00, 90.00, 90.00 degrees
Atoms (fractional coordinates):
Y 0.000 0.000 0.000
Mg 0.000 0.000 0.203
Mg 0.000 0.000 0.402
Mg 0.000 0.000 0.598
Mg 0.000 0.000 0.797
Cd 0.500 0.500 0.000
Cd 0.500 0.500 0.206
Cd 0.500 0.500 0.399
Cd 0.500 0.500 0.601
Cd 0.500 0.500 0.794
Cd 0.500 0.000 0.106
Cd 0.500 0.000 0.302
Cd 0.500 0.000 0.500
Cd 0.500 0.000 0.698
Cd 0.500 0.000 0.894
Cd 0.000 0.500 0.106
Cd 0.000 0.500 0.302
Cd 0.000 0.500 0.500
Cd 0.000 0.500 0.698
Cd 0.000 0.500 0.894

## Properties
**Formation enthalpy at 0 K**: -115 meV per atom
**Magnetic moment**: 0.00 μB per cell
**SG**: P4/mmm, No. 123



# 3
YMg5Cd6: relaxed, PBE.

Cell lengths 4.811, 7.665, 7.693 Å; angles 90.00, 90.00, 71.53 degrees
Atoms (fractional coordinates):
Y 0.000 0.000 0.000
Mg 0.670 0.662 0.500
Mg 0.335 0.333 0.000
Mg 0.000 0.000 0.500
Mg 0.665 0.667 0.000
Mg 0.330 0.338 0.500
Cd 0.830 0.340 0.254
Cd 0.830 0.340 0.746
Cd 0.500 0.000 0.733
Cd 0.500 0.000 0.267
Cd 0.170 0.660 0.254
Cd 0.170 0.660 0.746

## Properties
**Formation enthalpy at 0 K**: -158 meV per atom
**Magnetic moment**: 0.00 μB per cell
**SG**: P2/m, No. 10



# 4
YMg2Cd3: relaxed, PBE.

Cell lengths 4.917, 4.917, 13.299 Å; angles 90.00, 90.00, 120.00 degrees
Atoms (fractional coordinates):
Y 0.000 0.000 0.250
Y 0.000 0.000 0.750
Mg 0.667 0.333 0.401
Mg 0.333 0.667 0.599
Mg 0.333 0.667 0.901
Mg 0.667 0.333 0.099
Cd 0.000 0.000 0.500
Cd 0.000 0.000 0.000
Cd 0.667 0.333 0.636
Cd 0.333 0.667 0.136
Cd 0.667 0.333 0.864
Cd 0.333 0.667 0.364

## Properties
**Formation enthalpy at 0 K**: -215 meV per atom
**Magnetic moment**: 0.00 μB per cell
**SG**: P6_3/mmc, No. 194



# 5
YMg3Cd: relaxed, PBE.

Cell lengths 3.783, 9.895, 13.213 Å; angles 90.00, 90.00, 90.00 degrees
Atoms (fractional coordinates):
Y 0.750 0.845 0.997
Y 0.250 0.655 0.497
Y 0.750 0.345 0.503
Y 0.250 0.155 0.003
Mg 0.250 0.577 0.087
Mg 0.750 0.423 0.913
Mg 0.250 0.077 0.413
Mg 0.750 0.923 0.587
Mg 0.250 0.410 0.715
Mg 0.750 0.090 0.215
Mg 0.250 0.910 0.785
Mg 0.750 0.656 0.703
Mg 0.250 0.344 0.297
Mg 0.750 0.156 0.797
Mg 0.750 0.590 0.285
Mg 0.250 0.844 0.203
Cd 0.250 0.143 0.628
Cd 0.250 0.643 0.872
Cd 0.750 0.357 0.128
Cd 0.750 0.857 0.372

## Properties
**Formation enthalpy at 0 K**: -116 meV per atom
**Magnetic moment**: 0.00 μB per cell
**SG**: Pnma, No. 62



# 6
YMg2Cd6: relaxed, PBE.

Cell lengths 9.467, 9.467, 5.044 Å; angles 90.00, 90.00, 106.16 degrees
Atoms (fractional coordinates):
Y 0.191 0.191 0.750
Y 0.809 0.809 0.250
Mg 0.257 0.585 0.750
Mg 0.585 0.257 0.750
Mg 0.743 0.415 0.250
Mg 0.415 0.743 0.250
Cd 0.575 0.765 0.750
Cd 0.765 0.575 0.750
Cd 0.425 0.235 0.250
Cd 0.235 0.425 0.250
Cd 0.631 0.053 0.250
Cd 0.053 0.631 0.250
Cd 0.369 0.947 0.750
Cd 0.947 0.369 0.750
Cd 0.036 0.828 0.750
Cd 0.828 0.036 0.750
Cd 0.964 0.172 0.250
Cd 0.172 0.964 0.250

## Properties
**Formation enthalpy at 0 K**: -104 meV per atom
**Magnetic moment**: 0.00 μB per cell
**SG**: Cmcm, No. 63



# 7
Y4Mg7Cd: relaxed, PBE.

Cell lengths 5.539, 8.461, 10.912 Å; angles 85.36, 59.07, 50.66 degrees
Atoms (fractional coordinates):
Y 0.568 0.412 0.267
Y 0.432 0.588 0.733
Y 0.760 0.869 0.631
Y 0.240 0.132 0.369
Mg 0.895 0.445 0.911
Mg 0.106 0.555 0.089
Mg 0.892 0.124 0.749
Mg 0.108 0.877 0.251
Mg 0.655 0.674 0.426
Mg 0.500 0.999 0.000
Mg 0.345 0.327 0.574
Cd 0.998 0.001 0.000

## Properties
**Formation enthalpy at 0 K**: -52 meV per atom
**Magnetic moment**: 0.00 μB per cell
**SG**: P1, No. 1



# 8
YMg3Cd3: relaxed, PBE.

Cell lengths 8.716, 8.716, 8.716 Å; angles 90.00, 90.00, 90.00 degrees
Atoms (fractional coordinates):
Y 0.047 0.547 0.953
Y 0.953 0.047 0.547
Y 0.453 0.453 0.453
Y 0.547 0.953 0.047
Mg 0.831 0.331 0.169
Mg 0.870 0.870 0.870
Mg 0.810 0.690 0.310
Mg 0.169 0.831 0.331
Mg 0.190 0.190 0.190
Mg 0.310 0.810 0.690
Mg 0.130 0.370 0.630
Mg 0.331 0.169 0.831
Mg 0.690 0.310 0.810
Mg 0.669 0.669 0.669
Mg 0.630 0.130 0.370
Mg 0.370 0.630 0.130
Cd 0.687 0.604 0.008
Cd 0.896 0.992 0.187
Cd 0.008 0.687 0.604
Cd 0.104 0.492 0.313
Cd 0.313 0.104 0.492
Cd 0.187 0.896 0.992
Cd 0.992 0.187 0.896
Cd 0.396 0.508 0.813
Cd 0.492 0.313 0.104
Cd 0.604 0.008 0.687
Cd 0.813 0.396 0.508
Cd 0.508 0.813 0.396

## Properties
**Formation enthalpy at 0 K**: -125 meV per atom
**Magnetic moment**: 0.00 μB per cell
**SG**: P2_13, No. 198



# 9
Y3Mg2Cd3: relaxed, PBE.

Cell lengths 3.743, 5.286, 10.891 Å; angles 104.04, 99.89, 90.00 degrees
Atoms (fractional coordinates):
Y 0.374 0.374 0.748
Y 0.626 0.626 0.252
Y 0.500 0.000 0.000
Mg 0.261 0.761 0.521
Mg 0.739 0.239 0.479
Cd 0.873 0.873 0.747
Cd 0.000 0.500 0.000
Cd 0.127 0.127 0.253

## Properties
**Formation enthalpy at 0 K**: -236 meV per atom
**Magnetic moment**: 0.00 μB per cell
**SG**: Immm, No. 71



# 10
Y3MgCd: relaxed, PBE.

Cell lengths 5.669, 5.669, 5.669 Å; angles 90.00, 90.00, 90.00 degrees
Site moments in Bohr magnetons follow the coordinates.
Atoms (fractional coordinates):
Y 0.000 0.500 0.000  0.18
Y 0.000 0.000 0.500  0.12
Y 0.500 0.000 0.000  0.21
Mg 0.500 0.500 0.500  0.03
Cd 0.000 0.000 0.000  0.03

## Properties
**Formation enthalpy at 0 K**: 406 meV per atom
**Magnetic moment**: 1.79 μB per cell
**SG**: Pm-3m, No. 221



# 11
YMg3Cd: relaxed, PBE.

Cell lengths 3.405, 7.928, 9.471 Å; angles 72.92, 90.00, 90.00 degrees
Atoms (fractional coordinates):
Y 0.381 0.476 0.242
Y 0.881 0.199 0.564
Mg 0.881 0.649 0.478
Mg 0.381 0.026 0.328
Mg 0.881 0.655 0.920
Mg 0.881 0.243 0.049
Mg 0.381 0.432 0.757
Mg 0.381 0.020 0.886
Cd 0.381 0.836 0.654
Cd 0.881 0.839 0.152

## Properties
**Formation enthalpy at 0 K**: -118 meV per atom
**Magnetic moment**: 0.00 μB per cell
**SG**: P2_1/m, No. 11



# 12
Y4Mg5Cd: relaxed, PBE.

Cell lengths 5.262, 6.568, 8.331 Å; angles 104.81, 108.41, 90.00 degrees
Atoms (fractional coordinates):
Y 0.694 0.305 0.388
Y 0.099 0.897 0.197
Y 0.306 0.695 0.612
Y 0.901 0.103 0.803
Mg 0.302 0.201 0.604
Mg 0.098 0.413 0.196
Mg 0.902 0.587 0.804
Mg 0.500 0.500 0.000
Mg 0.698 0.799 0.396
Cd 0.500 0.000 0.000

## Properties
**Formation enthalpy at 0 K**: -140 meV per atom
**Magnetic moment**: 0.00 μB per cell
**SG**: C2/m, No. 12